[1]
! Nd2MgPb | the Alexandria database | PBE | optimized geometry; values from VASP
&SYSTEM
  ibrav = 0, nat = 4, ntyp = 3
/
ATOMIC_SPECIES
Nd 144.24 Nd.upf
Mg 24.30 Mg.upf
Pb 207.20 Pb.upf
ATOMIC_POSITIONS crystal
Nd 0.000 0.500 0.000
Nd 0.500 0.000 0.000
Mg 0.000 0.000 0.500
Pb 0.500 0.500 0.500
CELL_PARAMETERS angstrom
5.104 0.000 0.000
0.000 5.104 0.000
0.000 0.000 4.529
! * uncorrected energy: -16.26 eV/cell

[2]
! Y2HoTm2Sc2 | the Alexandria database | PBE | optimized geometry; values from VASP
&SYSTEM
  ibrav = 0, nat = 7, ntyp = 4
/
ATOMIC_SPECIES
Y 88.91 Y.upf
Ho 164.93 Ho.upf
Tm 168.93 Tm.upf
Sc 44.96 Sc.upf
ATOMIC_POSITIONS crystal
Y 0.170 0.170 0.088
Y 0.830 0.830 0.912
Ho 0.500 0.500 0.500
Tm 0.048 0.048 0.766
Tm 0.952 0.952 0.234
Sc 0.273 0.273 0.634
Sc 0.727 0.727 0.366
CELL_PARAMETERS angstrom
5.607 -1.703 0.000
5.607 1.703 0.000
-3.753 0.000 10.866
! * uncorrected energy: -38.35 eV/cell

[3]
! La2BiPt2 | the Alexandria database | PBE | optimized geometry; values from VASP
&SYSTEM
  ibrav = 0, nat = 5, ntyp = 3
/
ATOMIC_SPECIES
La 138.91 La.upf
Bi 208.98 Bi.upf
Pt 195.08 Pt.upf
ATOMIC_POSITIONS crystal
La 0.250 0.750 0.500
La 0.750 0.250 0.500
Bi 0.000 0.000 0.000
Pt 0.353 0.353 0.000
Pt 0.647 0.647 0.000
CELL_PARAMETERS angstrom
-2.818 2.818 4.391
2.818 -2.818 4.391
2.818 2.818 -4.391
! * uncorrected energy: -30.80 eV/cell

[4]
! Be17TcMo | the Alexandria database | PBE | optimized geometry; values from VASP
&SYSTEM
  ibrav = 0, nat = 19, ntyp = 3
/
ATOMIC_SPECIES
Be 9.01 Be.upf
Tc 98.00 Tc.upf
Mo 95.94 Mo.upf
ATOMIC_POSITIONS crystal
Be 0.052 0.052 0.052
Be 0.152 0.457 0.853
Be 0.152 0.853 0.457
Be 0.157 0.157 0.652
Be 0.157 0.652 0.157
Be 0.253 0.253 0.253
Be 0.310 0.804 0.804
Be 0.457 0.152 0.853
Be 0.457 0.853 0.152
Be 0.506 0.506 0.989
Be 0.506 0.989 0.506
Be 0.652 0.157 0.157
Be 0.804 0.310 0.804
Be 0.804 0.804 0.310
Be 0.853 0.152 0.457
Be 0.853 0.457 0.152
Be 0.989 0.506 0.506
Tc 0.817 0.817 0.817
Mo 0.492 0.492 0.492
CELL_PARAMETERS angstrom
3.633 2.097 3.524
-3.633 2.097 3.524
0.000 -4.195 3.524
! * uncorrected energy: -87.64 eV/cell

[5]
! TaSb2Au | the Alexandria database | PBE | optimized geometry; values from VASP
&SYSTEM
  ibrav = 0, nat = 4, ntyp = 3
/
ATOMIC_SPECIES
Ta 180.95 Ta.upf
Sb 121.76 Sb.upf
Au 196.97 Au.upf
ATOMIC_POSITIONS crystal
Ta 0.000 0.000 0.000
Sb 0.500 0.500 0.240
Sb 0.500 0.500 0.760
Au 0.000 0.000 0.500
CELL_PARAMETERS angstrom
3.649 0.000 0.000
0.000 3.649 0.000
0.000 0.000 6.314
! * raw formation energy: 0.40 eV/f.u.

[6]
! Tb2GdRh | the Alexandria database | PBE | optimized geometry; values from VASP
&SYSTEM
  ibrav = 0, nat = 4, ntyp = 3
/
ATOMIC_SPECIES
Tb 158.93 Tb.upf
Gd 157.25 Gd.upf
Rh 102.91 Rh.upf
ATOMIC_POSITIONS crystal
Tb 0.226 0.226 0.226
Tb 0.774 0.774 0.774
Gd 0.000 0.000 0.000
Rh 0.500 0.500 0.500
CELL_PARAMETERS angstrom
1.903 1.099 9.366
-1.903 1.099 9.366
0.000 -2.197 9.366
! * uncorrected energy: -32.01 eV/cell

[7]
! PaH2Se2O7 | the Alexandria database | PBE | optimized geometry; values from VASP
&SYSTEM
  ibrav = 0, nat = 12, ntyp = 4
/
ATOMIC_SPECIES
Pa 231.04 Pa.upf
H 1.01 H.upf
Se 78.96 Se.upf
O 16.00 O.upf
ATOMIC_POSITIONS crystal
Pa 0.000 0.000 0.000
H 0.453 0.453 0.453
H 0.547 0.547 0.547
Se 0.230 0.230 0.230
Se 0.770 0.770 0.770
O 0.117 0.117 0.572
O 0.117 0.572 0.117
O 0.428 0.883 0.883
O 0.500 0.500 0.500
O 0.572 0.117 0.117
O 0.883 0.428 0.883
O 0.883 0.883 0.428
CELL_PARAMETERS angstrom
2.927 1.690 6.725
-2.927 1.690 6.725
0.000 -3.380 6.725
! * uncorrected energy: -74.60 eV/cell

[8]
! La2AlZn4Hg3 | the Alexandria database | PBE | optimized geometry; values from VASP
&SYSTEM
  ibrav = 0, nat = 10, ntyp = 4
/
ATOMIC_SPECIES
La 138.91 La.upf
Al 26.98 Al.upf
Zn 65.41 Zn.upf
Hg 200.59 Hg.upf
ATOMIC_POSITIONS crystal
La 0.000 0.500 0.246
La 0.500 0.000 0.754
Al 0.500 0.500 0.000
Zn 0.000 0.000 0.500
Zn 0.000 0.500 0.868
Zn 0.500 0.000 0.132
Zn 0.500 0.500 0.500
Hg 0.000 0.000 0.000
Hg 0.000 0.500 0.637
Hg 0.500 0.000 0.363
CELL_PARAMETERS angstrom
4.430 0.000 0.000
0.000 4.430 0.000
0.000 0.000 11.360
! * uncorrected energy: -22.83 eV/cell